DFT (meta-GGA SCAN) results for Al2NiCl at its PBEsol-relaxed geometry.

Results
DOS(E_F): 4.2 states/eV/f.u.
Symmetry: F-43m
Total magnetic moment: 0.00 μB/f.u.
Uncorrected formation energy: 2.116 eV/f.u.
E_tot: -37.54 eV per cell

abc: 4.5188 4.5188 4.5188
angles: 60.00 60.00 60.00
Element x y z (fractional)
Ni 0.2500 0.2500 0.2500
Cl 0.5000 0.5000 0.5000
Al 0.0000 0.0000 0.0000
Al 0.7500 0.7500 0.7500